# 1
DFT (GGA-PBE) results for a relaxed structure of KZnReTe2.

Computed properties:
spin magnetization	0.077	μB/atom
SG	P4/mmm
uncorrected energy	-4.076	eV per atom
uncorrected formation energy	0.14	eV/atom

Unit cell a=5.339 b=5.072 c=5.339 alpha=90.00 beta=90.00 gamma=90.00
Site moments in Bohr magnetons follow the coordinates.
Fractional positions:
1 Re 0.000 0.000 0.000  0.30
2 Zn 0.000 0.500 0.000  0.00
3 Te 0.000 0.000 0.500  0.01
4 Te 0.500 0.000 0.000  0.01
5 K 0.500 0.500 0.500  0.00

---

# 2
DFT (GGA-PBE) results for a relaxed structure of KTi2Re.

Computed properties:
energy of formation from the pure elements	375.4	kJ/mol of formula units
spin magnetization	0.000	μB/atom
SG	Fm-3m
uncorrected energy	-6.361	eV per atom

Unit cell a=4.708 b=4.708 c=4.708 alpha=60.00 beta=60.00 gamma=60.00
Fractional positions:
1 Re 0.500 0.500 0.500
2 K 0.000 0.000 0.000
3 Ti 0.250 0.250 0.250
4 Ti 0.750 0.750 0.750

---

> What is the formula in the first record?

KZnReTe2